1.
Density functional theory data (PBE-GGA) for crystalline SrIrRu2 at its relaxed geometry.

symmetry = Cmmm
formation energy = 704 meV/atom
E above lowest polymorph = 306 meV/atom

Lattice parameters (Å, degrees): 5.126 5.126 2.777 90.00 90.00 110.57
Atoms (fractional coordinates):
Sr1 0.000 0.000 0.000
Ir1 0.500 0.500 0.000
Ru1 0.000 0.500 0.500
Ru2 0.500 0.000 0.500


2.
Density functional theory data (PBE-GGA) for crystalline Cs2SnPtRh at its relaxed geometry.

symmetry = P4/mmm
formation energy = 640 meV/atom

Lattice parameters (Å, degrees): 6.588 6.588 5.094 90.00 90.00 90.00
Atoms (fractional coordinates):
Cs1 0.000 0.500 0.000
Cs2 0.500 0.000 0.000
Sn1 0.000 0.000 0.500
Pt1 0.000 0.000 0.000
Rh1 0.500 0.500 0.500


Number 1: density 11.7 g/cm³, spin magnetization 0.0 Bohr magnetons per cell, calculated total energy -6.5701 eV/atom. Number 2: density 5.1 g/cm³, spin magnetization 1.5 Bohr magnetons per cell, calculated total energy -3.1807 eV/atom.